Below is a relaxed structure of CoReMo, with properties calculated at the PBE level.

Lattice parameters (Å, degrees): 4.332 4.332 2.625 90.00 90.00 120.00
Each line ends with the local moment (μB).
Sites, in units of the cell vectors:
Re  0.667  0.333  0.648  0.14
Mo  0.333  0.667  0.350  0.06
Co  0.000  0.000  0.002  1.56

Properties
The calculation puts the energy of formation from the pure elements at 151 meV/atom. For the energy relative to the lowest polymorph listed for this composition, the calculation gives 0.164 eV per atom. For the total energy, the calculation gives -0.7333 Ry per atom. The calculation puts the magnetization at 0.576 μB/atom.